IrAuS2 PBE optimized geometry; volume = 15.63 Å³ per atom; D(E_F) = 6.66 states/eV per cell; E_form (uncorrected) = 0.705 eV/atom; electronic total energy = -35.15 eV per cell; total magnetization = 0.00 μB per formula unit
1.0
-3.1925 3.1925 3.0672
3.1925 -3.1925 3.0672
3.1925 3.1925 -3.0672
Ir Au S
2 2 4
Direct
0.2500 0.2500 0.0000 Ir
0.7500 0.7500 0.0000 Ir
0.2500 0.7500 0.5000 Au
0.7500 0.2500 0.5000 Au
0.2493 0.7493 0.9987 S
0.2507 0.2493 0.5000 S
0.7493 0.7507 0.5000 S
0.7507 0.2507 0.0013 S